Density functional theory data (PBE) for crystalline Pm2HoOs at its relaxed geometry.

## Properties
Its density of states at the Fermi level is 1.548 states/eV per atom. The calculation puts the spin magnetization at 0.01 μB/cell. For the total DFT energy (no corrections), the calculation gives -5.95 eV per atom. The formation enthalpy at 0 K comes out at 376 meV per atom. The offset from the most stable computed form comes out at 2.19 eV/f.u.

Structure (POSCAR):
```
Pm2HoOs
1.0
3.5477 0.0000 0.0000
-1.7739 3.0724 0.0000
0.0000 0.0000 32.6958
Pm Ho Os
6 3 3
direct
0.0000 0.0000 0.1056
0.0000 0.0000 0.8944
0.3333 0.6667 0.5611
0.3333 0.6667 0.7722
0.6667 0.3333 0.2278
0.6667 0.3333 0.4389
0.0000 0.0000 0.0000
0.3333 0.6667 0.6667
0.6667 0.3333 0.3333
0.0000 0.0000 0.5000
0.3333 0.6667 0.1667
0.6667 0.3333 0.8333
```

Density functional theory data (PBE) for crystalline Tb2HRhO6 at its relaxed geometry.

## Properties
Its density of states at the Fermi level is 0.469 states/eV per atom. The calculation puts the spin magnetization at 2.01 μB/cell. For the total DFT energy (no corrections), the calculation gives -6.73 eV per atom.

Structure (POSCAR):
```
Tb2HRhO6
1.0
4.8108 -2.5398 0.0000
4.8108 2.5398 0.0000
-2.7303 0.0000 4.5308
Tb H Rh O
2 1 1 6
direct
0.2421 0.2421 0.2178
0.7579 0.7579 0.7822
0.5000 0.5000 0.0000
0.0000 0.0000 0.5000
0.1990 0.6771 0.1768
0.2326 0.2326 0.6283
0.3229 0.8010 0.8232
0.6771 0.1990 0.1768
0.7674 0.7674 0.3717
0.8010 0.3229 0.8232
```

Density functional theory data (PBE) for crystalline Pr2AlZn4Si3 at its relaxed geometry.

## Properties
Its density of states at the Fermi level is 0.479 states/eV per atom. The uncorrected formation energy comes out at -0.3813 eV per atom. The calculation puts the spin magnetization at 0.00 μB/cell. For the total DFT energy (no corrections), the calculation gives -3.85 eV per atom.

Structure (POSCAR):
```
Pr2AlZn4Si3
1.0
4.2072 0.0000 0.0000
0.0000 4.2072 0.0000
0.0000 0.0000 10.5847
Pr Al Zn Si
2 1 4 3
direct
0.0000 0.5000 0.2483
0.5000 0.0000 0.7517
0.0000 0.0000 0.5000
0.0000 0.0000 0.0000
0.0000 0.5000 0.6364
0.5000 0.0000 0.3636
0.5000 0.5000 0.0000
0.0000 0.5000 0.8651
0.5000 0.0000 0.1349
0.5000 0.5000 0.5000
```

Density functional theory data (PBE) for crystalline U3S4 at its relaxed geometry.

## Properties
Its density of states at the Fermi level is 2.059 states/eV per atom. The uncorrected formation energy comes out at -1.3911 eV per atom. The calculation puts the spin magnetization at 12.78 μB/cell. For the total DFT energy (no corrections), the calculation gives -8.59 eV per atom. The offset from the most stable computed form comes out at 0.00 eV/f.u.

Structure (POSCAR):
```
U3S4
1.0
-4.0695 4.0695 4.0695
4.0695 -4.0695 4.0695
4.0695 4.0695 -4.0695
U S
6 8
direct
0.1250 0.7500 0.8750
0.2500 0.6250 0.3750
0.3750 0.2500 0.6250
0.6250 0.3750 0.2500
0.7500 0.8750 0.1250
0.8750 0.1250 0.7500
0.0000 0.3454 0.5000
0.0000 0.8454 0.5000
0.1546 0.1546 0.1546
0.3454 0.5000 0.0000
0.5000 0.0000 0.3454
0.5000 0.0000 0.8454
0.6546 0.6546 0.6546
0.8454 0.5000 0.0000
```

Density functional theory data (PBE) for crystalline PrSm4Tm5 at its relaxed geometry.

## Properties
Its density of states at the Fermi level is 1.437 states/eV per atom. The calculation puts the spin magnetization at 0.00 μB/cell. For the total DFT energy (no corrections), the calculation gives -4.31 eV per atom. The formation enthalpy at 0 K comes out at 294 meV per atom. The offset from the most stable computed form comes out at 0.94 eV/f.u.

Structure (POSCAR):
```
PrSm4Tm5
1.0
-5.1413 5.1413 3.1266
5.1413 -5.1413 3.1266
5.1413 5.1413 -3.1266
Pr Sm Tm
1 4 5
direct
0.0000 0.0000 0.0000
0.1817 0.8811 0.5992
0.2819 0.5825 0.4008
0.5825 0.1817 0.3006
0.8811 0.2819 0.6994
0.4620 0.4620 0.0000
0.4940 0.8732 0.9156
0.5783 0.4940 0.6208
0.8732 0.9575 0.3792
0.9575 0.5783 0.0844
```

Density functional theory data (PBE) for crystalline YTlAu2 at its relaxed geometry.

## Properties
Its density of states at the Fermi level is 0.645 states/eV per atom. The calculation puts the spin magnetization at 0.00 μB/cell. For the total DFT energy (no corrections), the calculation gives -4.29 eV per atom. The formation enthalpy at 0 K comes out at -439 meV per atom.

Structure (POSCAR):
```
YTlAu2
1.0
4.0554 0.0000 0.0000
-2.0277 3.5121 0.0000
0.0000 0.0000 21.8930
Y Tl Au
3 3 6
direct
0.0000 0.0000 0.0000
0.3333 0.6667 0.6667
0.6667 0.3333 0.3333
0.0000 0.0000 0.5000
0.3333 0.6667 0.1667
0.6667 0.3333 0.8333
0.0000 0.0000 0.2509
0.0000 0.0000 0.7491
0.3333 0.6667 0.4157
0.3333 0.6667 0.9176
0.6667 0.3333 0.0824
0.6667 0.3333 0.5843
```

Density functional theory data (PBE) for crystalline LaPm2Rh at its relaxed geometry.

## Properties
Its density of states at the Fermi level is 1.388 states/eV per atom. The calculation puts the spin magnetization at 2.01 μB/cell. For the total DFT energy (no corrections), the calculation gives -5.60 eV per atom. The formation enthalpy at 0 K comes out at -154 meV per atom. The offset from the most stable computed form comes out at 1.19 eV/f.u.

Structure (POSCAR):
```
LaPm2Rh
1.0
3.8073 0.0000 0.0000
-1.9036 3.2972 0.0000
0.0000 0.0000 32.0427
La Pm Rh
3 6 3
direct
0.0000 0.0000 0.0000
0.3333 0.6667 0.6667
0.6667 0.3333 0.3333
0.0000 0.0000 0.1128
0.0000 0.0000 0.8872
0.3333 0.6667 0.5539
0.3333 0.6667 0.7795
0.6667 0.3333 0.2205
0.6667 0.3333 0.4461
0.0000 0.0000 0.5000
0.3333 0.6667 0.1667
0.6667 0.3333 0.8333
```

Density functional theory data (PBE) for crystalline Ac4Pr8Dy at its relaxed geometry.

## Properties
Its density of states at the Fermi level is 1.571 states/eV per atom. The calculation puts the spin magnetization at 0.00 μB/cell. For the total DFT energy (no corrections), the calculation gives -4.06 eV per atom. The formation enthalpy at 0 K comes out at 497 meV per atom.

Structure (POSCAR):
```
Ac4Pr8Dy
1.0
5.8368 3.3699 4.7469
-5.8368 3.3699 4.7469
0.0000 -6.7397 4.7469
Ac Pr Dy
4 8 1
direct
0.0000 0.0000 0.0000
0.0000 0.5000 0.5000
0.5000 0.0000 0.5000
0.5000 0.5000 0.0000
0.2420 0.2420 0.2420
0.2416 0.2416 0.7566
0.2416 0.7566 0.2416
0.2434 0.7584 0.7584
0.7566 0.2416 0.2416
0.7584 0.2434 0.7584
0.7584 0.7584 0.2434
0.7580 0.7580 0.7580
0.5000 0.5000 0.5000
```